Ba8PtAu2: optimized geometry, PBE.

Values from the calculation:
V = 43.6 A^3/atom
ΔE_f = -0.3709 eV/atom
ΔE to the lowest computed polymorph = 0.89 eV per formula unit

abc: 21.983 5.665 7.813
angles: 90.00 99.92 90.00
Space group C2/m (No. 12)
Asymmetric unit:
Ba 0.046 0.000 0.314 x4
Ba 0.081 0.500 0.885 x4
Ba 0.164 0.500 0.458 x4
Ba 0.213 0.000 0.839 x4
Pt 0.000 0.500 0.500 x2
Au 0.203 0.000 0.255 x4

***

BaPtAu2: optimized geometry, PBE.

Values from the calculation:
V = 28.2 A^3/atom
ΔE_f = -0.4506 eV/atom
ΔE to the lowest computed polymorph = 0.26 eV per formula unit

abc: 4.451 4.728 5.355
angles: 90.00 90.24 90.00
Space group P2/m (No. 10)
Asymmetric unit:
Ba 0.000 0.000 0.000 x1
Pt 0.500 0.000 0.500 x1
Au 0.499 0.500 0.752 x2

***

BaPtAu2: optimized geometry, PBE.

Values from the calculation:
V = 24.4 A^3/atom
ΔE_f = -0.2767 eV/atom
ΔE to the lowest computed polymorph = 0.96 eV per formula unit

abc: 3.881 5.223 9.643
angles: 90.00 90.00 90.00
Space group Immm (No. 71)
Asymmetric unit:
Ba 0.000 0.000 0.000 x2
Pt 0.000 0.000 0.500 x2
Au 0.000 0.500 0.207 x4

***

Ba2Pt5Au12: optimized geometry, PBE.

Values from the calculation:
V = 20.2 A^3/atom
ΔE_f = -0.2580 eV/atom

abc: 9.6943 9.6943 14.1420
angles: 90.00 90.00 120.00
Space group R-3m (No. 166, hexagonal axes)
Asymmetric unit:
Ba 0.0000 0.0000 0.1653 x6
Pt 0.0000 0.0000 0.4002 x6
Pt 0.0000 0.5000 0.0000 x9
Au 0.0000 0.2956 0.5000 x18
Au 0.0028 0.5014 0.3473 x18

***

Ba3Pt2Au3: optimized geometry, PBE.

Values from the calculation:
V = 29.9 A^3/atom
ΔE_f = -0.7013 eV/atom

abc: 4.675 11.846 17.262
angles: 90.00 90.00 90.00
Space group Cmcm (No. 63)
Asymmetric unit:
Ba 0.000 0.092 0.250 x4
Ba 0.000 0.368 0.087 x8
Pt 0.000 0.336 0.618 x8
Au 0.000 0.083 0.057 x8
Au 0.000 0.197 0.750 x4

***

BaPt2Au10: optimized geometry, PBE.

Values from the calculation:
V = 19.9 A^3/atom
ΔE_f = -0.1991 eV/atom

abc: 5.691 13.153 13.835
angles: 90.00 90.00 90.00
Space group Fmmm (No. 69)
Asymmetric unit:
Ba 0.000 0.000 0.000 x4
Pt 0.250 0.000 0.250 x8
Au 0.000 0.111 0.387 x16
Au 0.000 0.172 0.176 x16
Au 0.250 0.250 0.000 x8

***

Ba2PtAu: optimized geometry, PBE.

Values from the calculation:
V = 31.0 A^3/atom
ΔE_f = -0.5047 eV/atom

abc: 4.593 4.593 11.749
angles: 90.00 90.00 90.00
Space group I-4m2 (No. 119)
Asymmetric unit:
Ba 0.000 0.000 0.000 x2
Ba 0.000 0.500 0.250 x2
Pt 0.000 0.500 0.750 x2
Au 0.000 0.000 0.500 x2

***

Ba3Pt4Au4: optimized geometry, PBE.

Values from the calculation:
V = 26.2 A^3/atom
ΔE_f = -0.4352 eV/atom

abc: 8.318 8.318 8.318
angles: 90.00 90.00 90.00
Space group I-43m (No. 217)
Asymmetric unit:
Ba 0.000 0.000 0.500 x6
Pt 0.197 0.197 0.803 x8
Au 0.125 0.125 0.125 x8

***

Ba2PtAu2: optimized geometry, PBE.

Values from the calculation:
V = 31.9 A^3/atom
ΔE_f = -0.5578 eV/atom
ΔE to the lowest computed polymorph = 0.80 eV per formula unit

abc: 6.286 6.286 8.081
angles: 90.00 90.00 90.00
Space group I4/mmm (No. 139)
Asymmetric unit:
Ba 0.000 0.500 0.250 x4
Pt 0.000 0.000 0.000 x2
Au 0.000 0.000 0.334 x4

***

BaPt2Au8: optimized geometry, PBE.

Values from the calculation:
V = 26.4 A^3/atom
ΔE_f = 0.0561 eV/atom

abc: 5.645 5.645 9.105
angles: 90.00 90.00 90.00
Space group P4/mmm (No. 123)
Asymmetric unit:
Ba 0.000 0.000 0.000 x1
Pt 0.000 0.500 0.500 x2
Au 0.251 0.251 0.295 x8

***

Ba8Pt4Au: optimized geometry, PBE.

Values from the calculation:
V = 46.4 A^3/atom
ΔE_f = -0.6078 eV/atom

abc: 22.599 4.673 15.289
angles: 90.00 131.72 90.00
Space group Cm (No. 8)
Asymmetric unit:
Ba 0.000 0.000 0.000 x2
Ba 0.017 0.000 0.737 x2
Ba 0.124 0.500 0.608 x2
Ba 0.204 0.500 0.072 x2
Ba 0.298 0.000 0.931 x2
Ba 0.327 0.000 0.679 x2
Ba 0.373 0.000 0.411 x2
Ba 0.453 0.500 0.267 x2
Pt 0.003 0.000 0.514 x2
Pt 0.016 0.500 0.878 x2
Pt 0.312 0.500 0.808 x2
Pt 0.327 0.000 0.165 x2
Au 0.319 0.500 0.509 x2

***

Per-record raw total energy, eV/atom: -2.91, -4.08, -3.91, -4.12, -4.16, -3.80, -3.80, -4.35, -3.85, -3.60, -3.90